# 1
{
  "formula": "Gd2NiRu",
  "functional": "PBE",
  "state": "relaxed",
  "dft_energy_ev_per_atom": -11.15,
  "formation_energy_ev_per_fu": -1.37,
  "sg": "P4/mmm, No. 123",
  "total_magnetization_mub_per_fu": 14.00,
  "lattice": [[3.413, 0.000, 0.000], [0.000, 3.413, 0.000], [0.000, 0.000, 6.901]],
  "species": ["Gd", "Gd", "Ni", "Ru"],
  "frac_coords": [[0.000, 0.000, 0.249], [0.000, 0.000, 0.751], [0.500, 0.500, 0.500], [0.500, 0.500, 0.000]]
}

=====

# 2
{
  "formula": "VFeIrPt",
  "functional": "PBE",
  "state": "relaxed",
  "dft_energy_ev_per_atom": -8.53,
  "formation_energy_ev_per_fu": -1.64,
  "sg": "Pmmm, No. 47",
  "total_magnetization_mub_per_fu": 1.68,
  "lattice": [[3.727, 0.000, 0.000], [0.000, 3.824, 0.000], [0.000, 0.000, 3.879]],
  "species": ["V", "Fe", "Ir", "Pt"],
  "frac_coords": [[0.000, 0.000, 0.000], [0.000, 0.500, 0.500], [0.500, 0.500, 0.000], [0.500, 0.000, 0.500]]
}

=====

# 3
{
  "formula": "AlCrIN2",
  "functional": "PBE",
  "state": "relaxed",
  "dft_energy_ev_per_atom": -5.01,
  "raw_formation_energy_ev_per_fu": 6.54,
  "sg": "P4/mmm, No. 123",
  "relative_energy_mev_per_atom": 509,
  "total_magnetization_mub_per_fu": 0.00,
  "lattice": [[3.720, 0.000, 0.000], [0.000, 3.720, 0.000], [0.000, 0.000, 5.941]],
  "species": ["Al", "Cr", "I", "N", "N"],
  "frac_coords": [[0.000, 0.000, 0.000], [0.500, 0.500, 0.500], [0.000, 0.000, 0.500], [0.000, 0.500, 0.000], [0.500, 0.000, 0.000]]
}

=====

# 4
{
  "formula": "Dy5Tm4Mg2",
  "functional": "PBE",
  "state": "relaxed",
  "dft_energy_ev_per_atom": -3.89,
  "formation_energy_ev_per_fu": 1.34,
  "sg": "C2/m, No. 12",
  "total_magnetization_mub_per_fu": 0.00,
  "lattice": [[11.656, -1.718, 0.000], [11.656, 1.718, 0.000], [-0.719, 0.000, 8.299]],
  "species": ["Dy", "Dy", "Dy", "Dy", "Dy", "Tm", "Tm", "Tm", "Tm", "Mg", "Mg"],
  "frac_coords": [[0.000, 0.000, 0.000], [0.315, 0.315, 0.527], [0.371, 0.371, 0.955], [0.629, 0.629, 0.045], [0.685, 0.685, 0.473], [0.226, 0.226, 0.831], [0.460, 0.460, 0.650], [0.540, 0.540, 0.350], [0.774, 0.774, 0.169], [0.087, 0.087, 0.693], [0.913, 0.913, 0.307]]
}